Computed, not measured: a relaxed TlCr2W crystal at the GGA-PBEsol level of DFT.

Structure (CIF):
```
data_TlCr2W
_space_group_name_H-M_alt 'P 4/m m m'
_space_group_IT_number 123
_space_group_name_Hall '-P 4 2'
_cell_length_a 3.108
_cell_length_b 3.108
_cell_length_c 6.287
_cell_angle_alpha 90.00
_cell_angle_beta 90.00
_cell_angle_gamma 90.00
loop_
_atom_site_label
_atom_site_fract_x
_atom_site_fract_y
_atom_site_fract_z
Tl1 0.000 0.000 0.000
Cr1 0.500 0.500 0.282
W1 0.000 0.000 0.500
```

crystal system: tetragonal
raw total energy: -35.06 eV for the cell shown
D(E_F): 1.28 states/eV/cell

***

Computed, not measured: a relaxed YFe2Tc crystal at the GGA-PBEsol level of DFT.

Structure (CIF):
```
data_YFe2Tc
_space_group_name_H-M_alt 'P m m m'
_space_group_IT_number 47
_cell_length_a 3.256
_cell_length_b 4.238
_cell_length_c 4.353
_cell_angle_alpha 90.00
_cell_angle_beta 90.00
_cell_angle_gamma 90.00
loop_
_space_group_symop_operation_xyz
'x,y,z'
'-x,-y,-z'
'-x,-y,z'
'x,y,-z'
'x,-y,-z'
'-x,y,z'
'-x,y,-z'
'x,-y,z'
loop_
_atom_site_label
_atom_site_fract_x
_atom_site_fract_y
_atom_site_fract_z
Y1 0.000 0.000 0.000
Fe1 0.000 0.500 0.500
Fe2 0.500 0.500 0.000
Tc1 0.500 0.000 0.500
```

crystal system: orthorhombic
raw total energy: -34.22 eV for the cell shown
D(E_F): 6.14 states/eV/cell

***

Computed, not measured: a relaxed TlPdBr3 crystal at the GGA-PBEsol level of DFT.

Structure (CIF):
```
data_TlPdBr3
_space_group_name_H-M_alt 'P m -3 m'
_space_group_IT_number 221
_space_group_name_Hall '-P 4 2 3'
_cell_length_a 5.101
_cell_length_b 5.101
_cell_length_c 5.101
_cell_angle_alpha 90.00
_cell_angle_beta 90.00
_cell_angle_gamma 90.00
loop_
_atom_site_label
_atom_site_fract_x
_atom_site_fract_y
_atom_site_fract_z
Tl1 0.000 0.000 0.000
Pd1 0.500 0.500 0.500
Br1 0.000 0.500 0.500
```

crystal system: cubic
uncorrected formation energy: -0.49 eV/atom
raw total energy: -16.66 eV for the cell shown
D(E_F): 1.21 states/eV/cell

***

Computed, not measured: a relaxed Mg2Zn crystal at the GGA-PBEsol level of DFT.

Structure (CIF):
```
data_Mg2Zn
_space_group_name_H-M_alt 'I 4/m m m'
_space_group_IT_number 139
_space_group_name_Hall '-I 4 2'
_cell_length_a 3.095
_cell_length_b 3.095
_cell_length_c 11.933
_cell_angle_alpha 90.00
_cell_angle_beta 90.00
_cell_angle_gamma 90.00
loop_
_atom_site_label
_atom_site_fract_x
_atom_site_fract_y
_atom_site_fract_z
Mg1 0.000 0.000 0.151
Zn1 0.000 0.000 0.500
```

crystal system: tetragonal
raw total energy: -10.24 eV for the cell shown
D(E_F): 2.26 states/eV/cell

***

Computed, not measured: a relaxed LaSb2 crystal at the GGA-PBEsol level of DFT.

Structure (CIF):
```
data_LaSb2
_space_group_name_H-M_alt 'C 1 2/m 1'
_space_group_IT_number 12
_cell_length_a 11.202
_cell_length_b 5.038
_cell_length_c 6.344
_cell_angle_alpha 90.00
_cell_angle_beta 106.62
_cell_angle_gamma 90.00
loop_
_space_group_symop_operation_xyz
'x,y,z'
'-x,-y,-z'
'-x,y,-z'
'x,-y,z'
'x+1/2,y+1/2,z'
'-x+1/2,-y+1/2,-z'
'-x+1/2,y+1/2,-z'
'x+1/2,-y+1/2,z'
loop_
_atom_site_label
_atom_site_fract_x
_atom_site_fract_y
_atom_site_fract_z
La1 0.121 0.000 0.303
Sb1 0.000 0.500 0.000
Sb2 0.000 0.500 0.500
Sb3 0.202 0.000 0.855
```

crystal system: monoclinic
uncorrected formation energy: -0.82 eV/atom
raw total energy: -67.69 eV for the cell shown
D(E_F): 4.63 states/eV/cell

***

Computed, not measured: a relaxed Cr2FeTe crystal at the GGA-PBEsol level of DFT.

Structure (CIF):
```
data_Cr2FeTe
_space_group_name_H-M_alt 'P 4 m m'
_space_group_IT_number 99
_cell_length_a 3.089
_cell_length_b 3.089
_cell_length_c 5.655
_cell_angle_alpha 90.00
_cell_angle_beta 90.00
_cell_angle_gamma 90.00
loop_
_space_group_symop_operation_xyz
'x,y,z'
'-y,x,z'
'-x,-y,z'
'y,-x,z'
'-x,y,z'
'y,x,z'
'x,-y,z'
'-y,-x,z'
loop_
_atom_site_label
_atom_site_fract_x
_atom_site_fract_y
_atom_site_fract_z
Cr1 0.000 0.000 0.000
Cr2 0.500 0.500 0.215
Fe1 0.000 0.000 0.464
Te1 0.500 0.500 0.710
```

crystal system: tetragonal
uncorrected formation energy: 0.43 eV/atom
raw total energy: -31.24 eV for the cell shown
D(E_F): 4.37 states/eV/cell

***

Computed, not measured: a relaxed CdReRu2 crystal at the GGA-PBEsol level of DFT.

Structure (CIF):
```
data_CdReRu2
_space_group_name_H-M_alt 'I 4/m m m'
_space_group_IT_number 139
_space_group_name_Hall '-I 4 2'
_cell_length_a 4.006
_cell_length_b 4.006
_cell_length_c 7.355
_cell_angle_alpha 90.00
_cell_angle_beta 90.00
_cell_angle_gamma 90.00
loop_
_atom_site_label
_atom_site_fract_x
_atom_site_fract_y
_atom_site_fract_z
Cd1 0.000 0.000 0.000
Re1 0.000 0.000 0.500
Ru1 0.000 0.500 0.250
```

crystal system: tetragonal
raw total energy: -66.02 eV for the cell shown
D(E_F): 8.02 states/eV/cell

***

Computed, not measured: a relaxed TlReTc crystal at the GGA-PBEsol level of DFT.

Structure (CIF):
```
data_TlReTc
_space_group_name_H-M_alt 'F m m 2'
_space_group_IT_number 42
_space_group_name_Hall 'F 2 -2'
_cell_length_a 2.952
_cell_length_b 4.852
_cell_length_c 14.273
_cell_angle_alpha 90.00
_cell_angle_beta 90.00
_cell_angle_gamma 90.00
loop_
_atom_site_label
_atom_site_fract_x
_atom_site_fract_y
_atom_site_fract_z
Tl1 0.000 0.000 0.000
Re1 0.000 0.000 0.681
Tc1 0.000 0.000 0.324
```

crystal system: orthorhombic
raw total energy: -100.22 eV for the cell shown
D(E_F): 8.73 states/eV/cell

***

Computed, not measured: a relaxed FeNi crystal at the GGA-PBEsol level of DFT.

Structure (CIF):
```
data_FeNi
_space_group_name_H-M_alt 'I 41/a m d'
_space_group_IT_number 141
_cell_length_a 3.496
_cell_length_b 3.496
_cell_length_c 7.054
_cell_angle_alpha 90.00
_cell_angle_beta 90.00
_cell_angle_gamma 90.00
loop_
_space_group_symop_operation_xyz
'x,y,z'
'-x,-y,-z'
'-y+1/4,x+3/4,z+1/4'
'y+1/4,-x+3/4,-z+1/4'
'-x+1/2,-y,z+1/2'
'x+1/2,y,-z+1/2'
'y+1/4,-x+1/4,z+3/4'
'-y+1/4,x+1/4,-z+3/4'
'x,-y,-z'
'-x,y,z'
'-y+1/4,-x+1/4,-z+3/4'
'y+1/4,x+1/4,z+3/4'
'-x+1/2,y,-z+1/2'
'x+1/2,-y,z+1/2'
'y+1/4,x+3/4,-z+1/4'
'-y+1/4,-x+3/4,z+1/4'
'x+1/2,y+1/2,z+1/2'
'-x+1/2,-y+1/2,-z+1/2'
'-y+3/4,x+1/4,z+3/4'
'y+3/4,-x+1/4,-z+3/4'
'-x,-y+1/2,z'
'x,y+1/2,-z'
'y+3/4,-x+3/4,z+1/4'
'-y+3/4,x+3/4,-z+1/4'
'x+1/2,-y+1/2,-z+1/2'
'-x+1/2,y+1/2,z+1/2'
'-y+3/4,-x+3/4,-z+1/4'
'y+3/4,x+3/4,z+1/4'
'-x,y+1/2,-z'
'x,-y+1/2,z'
'y+3/4,x+1/4,-z+3/4'
'-y+3/4,-x+1/4,z+3/4'
loop_
_atom_site_label
_atom_site_fract_x
_atom_site_fract_y
_atom_site_fract_z
Fe1 0.000 0.250 0.375
Ni1 0.000 0.250 0.875
```

crystal system: tetragonal
raw total energy: -60.44 eV for the cell shown
D(E_F): 7.47 states/eV/cell

***

Computed, not measured: a relaxed KTa2Nb crystal at the GGA-PBEsol level of DFT.

Structure (CIF):
```
data_KTa2Nb
_space_group_name_H-M_alt 'F m -3 m'
_space_group_IT_number 225
_space_group_name_Hall '-F 4 2 3'
_cell_length_a 6.822
_cell_length_b 6.822
_cell_length_c 6.822
_cell_angle_alpha 90.00
_cell_angle_beta 90.00
_cell_angle_gamma 90.00
loop_
_atom_site_label
_atom_site_fract_x
_atom_site_fract_y
_atom_site_fract_z
K1 0.000 0.000 0.000
Ta1 0.250 0.250 0.250
Nb1 0.000 0.000 0.500
```

crystal system: cubic
raw total energy: -124.99 eV for the cell shown
D(E_F): 20.25 states/eV/cell

***

Computed, not measured: a relaxed SbIrPt2 crystal at the GGA-PBEsol level of DFT.

Structure (CIF):
```
data_SbIrPt2
_space_group_name_H-M_alt 'P m m m'
_space_group_IT_number 47
_cell_length_a 2.982
_cell_length_b 3.909
_cell_length_c 5.620
_cell_angle_alpha 90.00
_cell_angle_beta 90.00
_cell_angle_gamma 90.00
loop_
_space_group_symop_operation_xyz
'x,y,z'
'-x,-y,-z'
'-x,-y,z'
'x,y,-z'
'x,-y,-z'
'-x,y,z'
'-x,y,-z'
'x,-y,z'
loop_
_atom_site_label
_atom_site_fract_x
_atom_site_fract_y
_atom_site_fract_z
Sb1 0.000 0.000 0.000
Ir1 0.000 0.000 0.500
Pt1 0.500 0.500 0.264
```

crystal system: orthorhombic
uncorrected formation energy: 0.14 eV/atom
raw total energy: -27.73 eV for the cell shown
D(E_F): 4.87 states/eV/cell

***

Computed, not measured: a relaxed RuPt crystal at the GGA-PBEsol level of DFT.

Structure (CIF):
```
data_RuPt
_space_group_name_H-M_alt 'R -3 m'
_space_group_IT_number 166
_space_group_name_Hall '-R 3 2"'
_cell_length_a 2.7053
_cell_length_b 2.7053
_cell_length_c 26.8244
_cell_angle_alpha 90.00
_cell_angle_beta 90.00
_cell_angle_gamma 120.00
loop_
_atom_site_label
_atom_site_fract_x
_atom_site_fract_y
_atom_site_fract_z
Ru1 0.0000 0.0000 0.1288
Pt1 0.0000 0.0000 0.3776
```

crystal system: trigonal
raw total energy: -102.89 eV for the cell shown
D(E_F): 11.07 states/eV/cell

***

Computed, not measured: a relaxed AlTcRu2 crystal at the GGA-PBEsol level of DFT.

Structure (CIF):
```
data_AlTcRu2
_space_group_name_H-M_alt 'P 4/m m m'
_space_group_IT_number 123
_space_group_name_Hall '-P 4 2'
_cell_length_a 2.852
_cell_length_b 2.852
_cell_length_c 6.568
_cell_angle_alpha 90.00
_cell_angle_beta 90.00
_cell_angle_gamma 90.00
loop_
_atom_site_label
_atom_site_fract_x
_atom_site_fract_y
_atom_site_fract_z
Al1 0.000 0.000 0.000
Tc1 0.000 0.000 0.500
Ru1 0.500 0.500 0.240
```

crystal system: tetragonal
raw total energy: -36.85 eV for the cell shown
D(E_F): 2.86 states/eV/cell